The following is a DFT calculation (PBE) of a geometry-optimized NdZn6Pt6 structure.

a b c (Å): 5.248 6.818 6.818
angles (deg): 81.09 67.37 67.37
Atoms (fractional coordinates):
Zn 0.500 0.500 0.000
Zn 0.000 0.000 0.500
Zn 0.500 0.000 0.500
Zn 0.500 0.225 0.775
Zn 0.000 0.500 0.000
Zn 0.500 0.775 0.225
Pt 0.344 0.656 0.656
Pt 0.291 0.209 0.209
Pt 0.709 0.791 0.791
Pt 0.000 0.341 0.659
Pt 0.000 0.659 0.341
Pt 0.656 0.344 0.344
Nd 0.000 0.000 0.000

## Properties
For the total energy, the calculation gives -55.96 eV for the cell shown. The volume comes out at 15.99 Å³/atom. Its space group is Immm, No. 71.

The following is a DFT calculation (PBE) of a geometry-optimized Nd2ZnPt5 structure.

a b c (Å): 6.011 6.011 6.011
angles (deg): 93.90 117.77 117.77
Atoms (fractional coordinates):
Nd 0.500 0.254 0.754
Nd 0.500 0.754 0.254
Pt 0.550 0.284 0.284
Pt 0.000 0.254 0.254
Pt 0.000 0.734 0.284
Pt 0.450 0.734 0.734
Pt 0.000 0.284 0.734
Zn 0.000 0.926 0.926

## Properties
For the total energy, the calculation gives -47.61 eV for the cell shown. The volume comes out at 19.79 Å³/atom. Its space group is I4mm, No. 107.

The following is a DFT calculation (PBE) of a geometry-optimized Nd3ZnPt structure.

a b c (Å): 5.630 7.258 7.259
angles (deg): 98.16 102.99 77.01
Atoms (fractional coordinates):
Nd 0.030 0.102 0.409
Nd 0.030 0.633 0.940
Nd 0.475 0.922 0.120
Nd 0.663 0.987 0.664
Nd 0.663 0.379 0.055
Nd 0.523 0.498 0.544
Zn 0.119 0.206 0.836
Zn 0.948 0.654 0.389
Pt 0.241 0.835 0.714
Pt 0.241 0.328 0.207

## Properties
For the total energy, the calculation gives -47.82 eV for the cell shown. The volume comes out at 28.03 Å³/atom. Its space group is Cm, No. 8.

The following is a DFT calculation (PBE) of a geometry-optimized Nd3Zn4Pt2 structure.

a b c (Å): 4.483 5.881 8.561
angles (deg): 70.44 74.82 67.59
Atoms (fractional coordinates):
Zn 0.720 0.612 0.948
Zn 0.280 0.388 0.052
Zn 0.037 0.301 0.625
Zn 0.963 0.699 0.375
Nd 0.679 0.294 0.349
Nd 0.321 0.706 0.651
Nd 0.000 0.000 0.000
Pt 0.602 0.066 0.730
Pt 0.398 0.934 0.270

## Properties
For the total energy, the calculation gives -37.72 eV for the cell shown. The volume comes out at 21.59 Å³/atom. Its space group is C2/m, No. 12.

The following is a DFT calculation (PBE) of a geometry-optimized NdZnPt3 structure.

a b c (Å): 5.952 5.952 13.367
angles (deg): 90.00 90.00 120.00
Atoms (fractional coordinates):
Pt 0.147 0.853 0.750
Pt 0.853 0.147 0.250
Pt 0.500 0.500 0.500
Pt 0.000 0.500 0.500
Pt 0.500 0.000 0.500
Pt 0.853 0.706 0.250
Pt 0.706 0.853 0.750
Pt 0.294 0.147 0.250
Pt 0.500 0.000 0.000
Pt 0.147 0.294 0.750
Pt 0.500 0.500 0.000
Pt 0.000 0.500 0.000
Nd 0.667 0.333 0.750
Nd 0.333 0.667 0.250
Nd 0.000 0.000 0.500
Nd 0.000 0.000 0.000
Zn 0.667 0.333 0.134
Zn 0.667 0.333 0.366
Zn 0.333 0.667 0.866
Zn 0.333 0.667 0.634

## Properties
For the total energy, the calculation gives -109.05 eV for the cell shown. The volume comes out at 20.51 Å³/atom. Its space group is P6_3/mmc, No. 194.

The following is a DFT calculation (PBE) of a geometry-optimized NdZn5Pt3 structure.

a b c (Å): 3.957 7.170 12.049
angles (deg): 90.00 90.00 106.02
Atoms (fractional coordinates):
Pt 0.385 0.769 0.934
Pt 0.615 0.231 0.066
Pt 0.865 0.729 0.250
Pt 0.135 0.271 0.750
Pt 0.385 0.769 0.566
Pt 0.615 0.231 0.434
Zn 0.000 0.000 0.000
Zn 0.000 0.000 0.500
Zn 0.198 0.396 0.548
Zn 0.802 0.604 0.048
Zn 0.802 0.604 0.452
Zn 0.441 0.883 0.356
Zn 0.441 0.883 0.144
Zn 0.559 0.117 0.644
Zn 0.559 0.117 0.856
Zn 0.198 0.396 0.952
Nd 0.814 0.628 0.750
Nd 0.186 0.372 0.250

## Properties
For the total energy, the calculation gives -68.61 eV for the cell shown. The volume comes out at 18.25 Å³/atom. Its space group is Cmcm, No. 63.

The following is a DFT calculation (PBE) of a geometry-optimized NdZnPt structure.

a b c (Å): 4.309 5.603 6.188
angles (deg): 75.08 69.63 67.39
Atoms (fractional coordinates):
Nd 0.553 0.200 0.694
Nd 0.447 0.800 0.306
Pt 0.836 0.631 0.697
Pt 0.164 0.369 0.303
Zn 0.830 0.253 0.087
Zn 0.170 0.747 0.913

## Properties
For the total energy, the calculation gives -29.23 eV for the cell shown. The volume comes out at 21.33 Å³/atom. Its space group is C2/m, No. 12.

The following is a DFT calculation (PBE) of a geometry-optimized Nd2Zn3Pt4 structure.

a b c (Å): 5.675 7.630 8.296
angles (deg): 90.00 110.00 90.00
Atoms (fractional coordinates):
Pt 0.822 0.025 0.644
Pt 0.178 0.975 0.356
Pt 0.810 0.250 0.120
Pt 0.190 0.750 0.880
Pt 0.310 0.250 0.120
Pt 0.322 0.475 0.644
Pt 0.690 0.750 0.880
Pt 0.678 0.525 0.356
Zn 0.523 0.750 0.545
Zn 0.000 0.000 0.000
Zn 0.023 0.750 0.545
Zn 0.500 0.500 0.000
Zn 0.477 0.250 0.455
Zn 0.977 0.250 0.455
Nd 0.612 0.915 0.225
Nd 0.112 0.585 0.225
Nd 0.888 0.415 0.775
Nd 0.388 0.085 0.775

## Properties
For the total energy, the calculation gives -90.40 eV for the cell shown. The volume comes out at 18.76 Å³/atom. Its space group is Cmce, No. 64.

The following is a DFT calculation (PBE) of a geometry-optimized NdZn3Pt2 structure.

a b c (Å): 4.104 8.731 9.944
angles (deg): 103.26 90.00 103.59
Atoms (fractional coordinates):
Zn 0.785 0.569 0.605
Zn 0.630 0.259 0.207
Zn 0.370 0.741 0.793
Zn 0.950 0.900 0.651
Zn 0.336 0.672 0.038
Zn 0.215 0.431 0.395
Zn 0.050 0.100 0.349
Zn 0.500 0.000 0.500
Zn 0.664 0.328 0.962
Nd 0.000 0.000 0.000
Nd 0.839 0.678 0.286
Nd 0.161 0.322 0.714
Pt 0.203 0.405 0.127
Pt 0.639 0.278 0.469
Pt 0.472 0.944 0.221
Pt 0.528 0.056 0.779
Pt 0.361 0.722 0.531
Pt 0.797 0.595 0.873

## Properties
For the total energy, the calculation gives -74.25 eV for the cell shown. The volume comes out at 18.70 Å³/atom. Its space group is C2/m, No. 12.

The following is a DFT calculation (PBE) of a geometry-optimized Nd2ZnPt7 structure.

a b c (Å): 6.800 6.800 6.800
angles (deg): 60.00 60.00 60.00
Atoms (fractional coordinates):
Pt 0.241 0.759 0.241
Pt 0.759 0.241 0.759
Pt 0.759 0.759 0.241
Pt 0.759 0.241 0.241
Pt 0.241 0.241 0.759
Pt 0.241 0.759 0.759
Pt 0.500 0.500 0.500
Nd 0.250 0.250 0.250
Nd 0.750 0.750 0.750
Zn 0.000 0.000 0.000

## Properties
For the total energy, the calculation gives -53.64 eV for the cell shown. The volume comes out at 22.23 Å³/atom. Its space group is Fm-3m, No. 225.

The following is a DFT calculation (PBE) of a geometry-optimized Nd3Zn2Pt3 structure.

a b c (Å): 5.785 8.514 8.514
angles (deg): 120.00 90.00 90.00
Atoms (fractional coordinates):
Nd 0.750 0.280 0.000
Nd 0.250 0.720 0.000
Nd 0.750 0.000 0.280
Nd 0.750 0.720 0.720
Nd 0.250 0.000 0.720
Nd 0.250 0.280 0.280
Zn 0.500 0.333 0.667
Zn 0.000 0.333 0.667
Zn 0.000 0.667 0.333
Zn 0.500 0.667 0.333
Pt 0.250 0.000 0.387
Pt 0.750 0.613 0.000
Pt 0.250 0.613 0.613
Pt 0.750 0.387 0.387
Pt 0.750 0.000 0.613
Pt 0.250 0.387 0.000

## Properties
For the total energy, the calculation gives -82.86 eV for the cell shown. The volume comes out at 22.70 Å³/atom. Its space group is P6_3/mcm, No. 193.

The following is a DFT calculation (PBE) of a geometry-optimized NdZn2Pt6 structure.

a b c (Å): 8.023 8.023 8.023
angles (deg): 60.00 60.00 60.00
Atoms (fractional coordinates):
Pt 0.996 0.504 0.996
Pt 0.254 0.746 0.254
Pt 0.996 0.504 0.504
Pt 0.504 0.996 0.504
Pt 0.746 0.254 0.254
Pt 0.254 0.254 0.746
Pt 0.746 0.746 0.254
Pt 0.746 0.254 0.746
Pt 0.504 0.996 0.996
Pt 0.504 0.504 0.996
Pt 0.254 0.746 0.746
Pt 0.996 0.996 0.504
Zn 0.125 0.625 0.125
Zn 0.125 0.125 0.625
Zn 0.125 0.125 0.125
Zn 0.625 0.125 0.125
Nd 0.750 0.750 0.750
Nd 0.500 0.500 0.500

## Properties
For the total energy, the calculation gives -91.41 eV for the cell shown. The volume comes out at 20.29 Å³/atom. Its space group is Fd-3m, No. 227.